# 1
# MnCuMo2H (GGA-PBE, relaxed)
# spin magnetization: 1.47 μB/cell
# total DFT energy (no corrections): -7.492 eV per atom
# calculated volume: 58 Å³ per cell
# density of states at the Fermi level: 0.573 states/eV/atom
data_MnCuMo2H
_chemical_formula_sum 'Mn1 Cu1 Mo2 H1'
_cell_length_a 3.9383
_cell_length_b 3.9383
_cell_length_c 3.7291
_cell_angle_alpha 90.00
_cell_angle_beta 90.00
_cell_angle_gamma 90.00
_space_group_name_H-M_alt 'P 4/m m m'
_space_group_IT_number 123
_space_group_name_Hall '-P 4 2'
loop_
_atom_site_label
_atom_site_type_symbol
_atom_site_fract_x
_atom_site_fract_y
_atom_site_fract_z
Mn1 Mn 0.0000 0.0000 0.0000
Cu1 Cu 0.5000 0.5000 0.0000
Mo1 Mo 0.0000 0.5000 0.5000
H1 H 0.0000 0.0000 0.5000

# 2
# MgAsBr (GGA-PBE, relaxed)
# ΔE to the lowest computed polymorph: 104 kJ/mol of formula units
# spin magnetization: 0.00 μB/cell
# formation energy from raw total energies: -0.48 eV/atom
# calculated volume: 82 Å³ per cell
# density of states at the Fermi level: 0.500 states/eV/atom
data_MgAsBr
_chemical_formula_sum 'Mg1 As1 Br1'
_cell_length_a 3.4476
_cell_length_b 3.4476
_cell_length_c 8.0056
_cell_angle_alpha 90.00
_cell_angle_beta 90.00
_cell_angle_gamma 120.00
_space_group_name_H-M_alt 'P 3 m 1'
_space_group_IT_number 156
_space_group_name_Hall 'P 3 -2"'
loop_
_atom_site_label
_atom_site_type_symbol
_atom_site_fract_x
_atom_site_fract_y
_atom_site_fract_z
Mg1 Mg 0.0000 0.0000 0.0000
As1 As 0.6667 0.3333 0.2634
Br1 Br 0.3333 0.6667 0.7923

# 3
# K2TlGa2 (GGA-PBE, relaxed)
# ΔE to the lowest computed polymorph: 0 kJ/mol of formula units
# spin magnetization: 0.00 μB/cell
# calculated volume: 323 Å³ per cell
# density of states at the Fermi level: 0.554 states/eV/atom
# calculated formation energy: 0.098 kcal/mol of atoms
data_K2TlGa2
_chemical_formula_sum 'K4 Tl2 Ga4'
_cell_length_a 7.4884
_cell_length_b 7.4884
_cell_length_c 5.7550
_cell_angle_alpha 90.00
_cell_angle_beta 90.00
_cell_angle_gamma 90.00
_space_group_name_H-M_alt 'P 4/m b m'
_space_group_IT_number 127
_space_group_name_Hall '-P 4 2ab'
loop_
_atom_site_label
_atom_site_type_symbol
_atom_site_fract_x
_atom_site_fract_y
_atom_site_fract_z
K1 K 0.1839 0.3161 0.0000
Tl1 Tl 0.0000 0.0000 0.5000
Ga1 Ga 0.1206 0.6206 0.5000

# 4
# KNpSnI6 (GGA-PBE, relaxed)
# spin magnetization: 8.00 μB/cell
# formation energy from raw total energies: -0.89 eV/atom
# calculated volume: 885 Å³ per cell
# density of states at the Fermi level: 0.484 states/eV/atom
data_KNpSnI6
_chemical_formula_sum 'K2 Np2 Sn2 I12'
_cell_length_a 8.1015
_cell_length_b 8.1015
_cell_length_c 15.5661
_cell_angle_alpha 90.00
_cell_angle_beta 90.00
_cell_angle_gamma 120.00
_space_group_name_H-M_alt 'P -3 1 c'
_space_group_IT_number 163
_space_group_name_Hall '-P 3 2c'
loop_
_atom_site_label
_atom_site_type_symbol
_atom_site_fract_x
_atom_site_fract_y
_atom_site_fract_z
K1 K 0.0000 0.0000 0.0000
Np1 Np 0.3333 0.6667 0.2500
Sn1 Sn 0.3333 0.6667 0.7500
I1 I 0.0083 0.3704 0.1322

# 5
# TmPu3C (GGA-PBE, relaxed)
# spin magnetization: 16.23 μB/cell
# calculated volume: 119 Å³ per cell
# density of states at the Fermi level: 3.245 states/eV/atom
# calculated formation energy: 4.671 kcal/mol of atoms
data_TmPu3C
_chemical_formula_sum 'Tm1 Pu3 C1'
_cell_length_a 4.9208
_cell_length_b 4.9208
_cell_length_c 4.9208
_cell_angle_alpha 90.00
_cell_angle_beta 90.00
_cell_angle_gamma 90.00
_space_group_name_H-M_alt 'P m -3 m'
_space_group_IT_number 221
_space_group_name_Hall '-P 4 2 3'
loop_
_atom_site_label
_atom_site_type_symbol
_atom_site_fract_x
_atom_site_fract_y
_atom_site_fract_z
Tm1 Tm 0.0000 0.0000 0.0000
Pu1 Pu 0.0000 0.5000 0.5000
C1 C 0.5000 0.5000 0.5000

# 6
# Tc2BMo (GGA-PBE, relaxed)
# spin magnetization: 0.00 μB/cell
# calculated volume: 202 Å³ per cell
# density of states at the Fermi level: 0.514 states/eV/atom
# calculated formation energy: -6.586 kcal/mol of atoms
data_Tc2BMo
_chemical_formula_sum 'Tc8 B4 Mo4'
_cell_length_a 5.6279
_cell_length_b 7.3702
_cell_length_c 4.8813
_cell_angle_alpha 90.00
_cell_angle_beta 90.00
_cell_angle_gamma 90.00
_space_group_name_H-M_alt 'P n m a'
_space_group_IT_number 62
_space_group_name_Hall '-P 2ac 2n'
loop_
_atom_site_label
_atom_site_type_symbol
_atom_site_fract_x
_atom_site_fract_y
_atom_site_fract_z
Tc1 Tc 0.1794 0.0578 0.1558
B1 B 0.1147 0.7500 0.9144
Mo1 Mo 0.0241 0.2500 0.6450

# 7
# Sc2ICl2 (GGA-PBE, relaxed)
# ΔE to the lowest computed polymorph: 0 kJ/mol of formula units
# spin magnetization: 1.53 μB/cell
# formation energy from raw total energies: -1.10 eV/atom
# calculated volume: 241 Å³ per cell
# density of states at the Fermi level: 0.821 states/eV/atom
data_Sc2ICl2
_chemical_formula_sum 'Sc4 I2 Cl4'
_cell_length_a 4.7839
_cell_length_b 4.7839
_cell_length_c 10.5088
_cell_angle_alpha 90.00
_cell_angle_beta 90.00
_cell_angle_gamma 90.00
_space_group_name_H-M_alt 'I 4/m m m'
_space_group_IT_number 139
_space_group_name_Hall '-I 4 2'
loop_
_atom_site_label
_atom_site_type_symbol
_atom_site_fract_x
_atom_site_fract_y
_atom_site_fract_z
Sc1 Sc 0.0000 0.5000 0.2500
I1 I 0.0000 0.0000 0.0000
Cl1 Cl 0.0000 0.0000 0.3417

# 8
# AsRh (GGA-PBE, relaxed)
# spin magnetization: 0.00 μB/cell
# calculated volume: 123 Å³ per cell
# density of states at the Fermi level: 0.747 states/eV/atom
# calculated formation energy: -2.236 kcal/mol of atoms
data_AsRh
_chemical_formula_sum 'As4 Rh4'
_cell_length_a 3.7162
_cell_length_b 3.7162
_cell_length_c 8.8861
_cell_angle_alpha 90.00
_cell_angle_beta 90.00
_cell_angle_gamma 90.00
_space_group_name_H-M_alt 'I 41/a m d'
_space_group_IT_number 141
loop_
_space_group_symop_operation_xyz
'x,y,z'
'-x,-y,-z'
'-y+1/4,x+3/4,z+1/4'
'y+1/4,-x+3/4,-z+1/4'
'-x+1/2,-y,z+1/2'
'x+1/2,y,-z+1/2'
'y+1/4,-x+1/4,z+3/4'
'-y+1/4,x+1/4,-z+3/4'
'x,-y,-z'
'-x,y,z'
'-y+1/4,-x+1/4,-z+3/4'
'y+1/4,x+1/4,z+3/4'
'-x+1/2,y,-z+1/2'
'x+1/2,-y,z+1/2'
'y+1/4,x+3/4,-z+1/4'
'-y+1/4,-x+3/4,z+1/4'
'x+1/2,y+1/2,z+1/2'
'-x+1/2,-y+1/2,-z+1/2'
'-y+3/4,x+1/4,z+3/4'
'y+3/4,-x+1/4,-z+3/4'
'-x,-y+1/2,z'
'x,y+1/2,-z'
'y+3/4,-x+3/4,z+1/4'
'-y+3/4,x+3/4,-z+1/4'
'x+1/2,-y+1/2,-z+1/2'
'-x+1/2,y+1/2,z+1/2'
'-y+3/4,-x+3/4,-z+1/4'
'y+3/4,x+3/4,z+1/4'
'-x,y+1/2,-z'
'x,-y+1/2,z'
'y+3/4,x+1/4,-z+3/4'
'-y+3/4,-x+1/4,z+3/4'
loop_
_atom_site_label
_atom_site_type_symbol
_atom_site_fract_x
_atom_site_fract_y
_atom_site_fract_z
As1 As 0.0000 0.2500 0.3750
Rh1 Rh 0.0000 0.2500 0.8750